No. 1
Entry from Alexandria via LeMat-Bulk: a geometry-optimized LiNi2HSe structure (PBE).

For the total magnetic moment, the calculation gives 0.852 μB per cell.

The structure belongs to space group P4/mmm (No. 123); the cell edges are 4.110, 4.110 and 4.101 Å and the angles 90.00°, 90.00° and 90.00°. The inequivalent atoms are Li at (0.000, 0.000, 0.000), Ni at (0.000, 0.500, 0.000), H at (0.500, 0.500, 0.500) and Se at (0.000, 0.000, 0.500).

***

No. 2
Entry from Alexandria via LeMat-Bulk: a geometry-optimized Ca3Zn2Ag4 structure (PBE).

For the total magnetic moment, the calculation gives 0.000 μB per cell.

The structure belongs to space group C2/m (No. 12); the cell edges are 10.929, 4.678 and 8.861 Å and the angles 90.00°, 112.36° and 90.00°. The inequivalent atoms are Ca at (0.000, 0.000, 0.000), Ca at (0.144, 0.500, 0.685), Zn at (0.154, 0.500, 0.324), Ag at (0.087, 0.000, 0.411) and Ag at (0.223, 0.500, 0.070).

***

No. 3
Entry from Alexandria via LeMat-Bulk: a geometry-optimized AcLaIrPd structure (PBE).

For the total magnetic moment, the calculation gives 0.000 μB per cell. The value obtained for the energy above the lowest structure with this stoichiometry is 0.087 eV/atom.

The structure belongs to space group F-43m (No. 216); the cell edges are 7.377, 7.377 and 7.377 Å and the angles 90.00°, 90.00° and 90.00°. The inequivalent atoms are Ac at (0.000, 0.000, 0.000), La at (0.000, 0.000, 0.500), Ir at (0.250, 0.250, 0.750) and Pd at (0.250, 0.250, 0.250).

***

No. 4
Entry from Alexandria via LeMat-Bulk: a geometry-optimized InTcNi2 structure (PBE).

For the total magnetic moment, the calculation gives 1.070 μB per cell.

The structure belongs to space group P4/mmm (No. 123); the cell edges are 4.526, 4.526 and 2.761 Å and the angles 90.00°, 90.00° and 90.00°. The inequivalent atoms are In at (0.000, 0.000, 0.000), Tc at (0.500, 0.500, 0.000) and Ni at (0.000, 0.500, 0.500).

***

No. 5
Entry from Alexandria via LeMat-Bulk: a geometry-optimized Y2CrSb structure (PBE).

For the total magnetic moment, the calculation gives 8.144 μB per cell.

The structure belongs to space group R3m (No. 160, hexagonal axes); the cell edges are 4.6798, 4.6798 and 16.6498 Å and the angles 90.00°, 90.00° and 120.00°. The inequivalent atoms are Y at (0.0000, 0.0000, 0.0000), Y at (0.0000, 0.0000, 0.2032), Cr at (0.0000, 0.0000, 0.7841) and Sb at (0.0000, 0.0000, 0.4183).

***

No. 6
Entry from Alexandria via LeMat-Bulk: a geometry-optimized Tl12S5Br3 structure (PBE).

For the total magnetic moment, the calculation gives 0.000 μB per cell.

The structure belongs to space group Ia-3d (No. 230); the cell edges are 18.334, 18.334 and 18.334 Å and the angles 90.00°, 90.00° and 90.00°. The inequivalent atoms are Tl at (0.020, 0.062, 0.654), S at (0.000, 0.000, 0.000), S at (0.000, 0.250, 0.375) and Br at (0.000, 0.250, 0.125).

***

Which energy belongs to each record? In order, -2.940 -2.508 -6.443 -5.992 -6.813 -3.060 eV per atom.